Material: AcYGaOs
Method: DFT, PBE
State: relaxed

Computed properties:
E_tot: -6.32 eV/atom

The structure in POSCAR format:
```
AcYGaOs
1.0
5.1629 0.0000 0.0000
2.5814 4.4712 0.0000
2.5814 1.4904 4.2155
Y Ac Os Ga
1 1 1 1
Cartesian
7.7443 4.4712 3.1616 Y
2.5814 1.4904 1.0539 Ac
5.1629 2.9808 2.1077 Os
0.0000 0.0000 0.0000 Ga
```